#P
DFT (PBE) results for a relaxed structure of LuZrCuNi.

Cell and atoms, written as POSCAR:
```
LuZrCuNi
1.0
0.000 3.287 3.287
3.287 0.000 3.287
3.287 3.287 0.000
Ni Lu Zr Cu
1 1 1 1
Direct
0.250 0.250 0.250 Ni
0.500 0.500 0.500 Lu
0.000 0.000 0.000 Zr
0.750 0.750 0.750 Cu
```

Total moment: 0.00 μB per cell

=====

#Q
DFT (PBE) results for a relaxed structure of LuZrCuNi.

Cell and atoms, written as POSCAR:
```
LuZrCuNi
1.0
1.429 -3.844 1.953
-2.783 -3.579 0.274
0.781 -3.684 -2.540
Zr Ni Lu Cu
1 1 1 1
Direct
0.250 0.250 0.250 Zr
0.500 0.500 0.500 Ni
0.000 0.000 0.000 Lu
0.750 0.750 0.750 Cu
```

Total moment: 0.00 μB per cell

=====

Which of them is least stable? Easy: #Q.

=====

#P
DFT (PBE) results for a relaxed structure of LuCuOs.

Cell and atoms, written as POSCAR:
```
LuCuOs
1.0
0.000 3.092 3.092
3.092 0.000 3.092
3.092 3.092 0.000
Cu Lu Os
1 1 1
Direct
0.250 0.250 0.250 Cu
0.750 0.750 0.750 Lu
0.000 0.000 0.000 Os
```

Total moment: 0.13 μB per cell

=====

#Q
DFT (PBE) results for a relaxed structure of LuCuOs.

Cell and atoms, written as POSCAR:
```
LuCuOs
1.0
-3.804 -1.640 1.475
-3.481 2.637 0.509
-3.441 -0.353 -2.714
Os Lu Cu
1 1 1
Direct
0.750 0.750 0.750 Os
0.000 0.000 0.000 Lu
0.250 0.250 0.250 Cu
```

Total moment: 0.01 μB per cell

=====

Which of them is least stable? Easy: #Q.

=====

#P
DFT (PBE) results for a relaxed structure of LuCuOsPb.

Cell and atoms, written as POSCAR:
```
LuCuOsPb
1.0
3.161 2.716 2.237
-1.224 2.285 3.957
1.769 -1.372 4.167
Os Lu Cu Pb
1 1 1 1
Direct
0.250 0.250 0.250 Os
0.500 0.500 0.500 Lu
0.750 0.750 0.750 Cu
0.000 0.000 0.000 Pb
```

Total moment: 0.00 μB per cell

=====

#Q
DFT (PBE) results for a relaxed structure of LuCuOsPb.

Cell and atoms, written as POSCAR:
```
LuCuOsPb
1.0
0.000 3.362 3.362
3.362 0.000 3.362
3.362 3.362 0.000
Cu Pb Lu Os
1 1 1 1
Direct
0.750 0.750 0.750 Cu
0.000 0.000 0.000 Pb
0.250 0.250 0.250 Lu
0.500 0.500 0.500 Os
```

Total moment: 0.01 μB per cell

=====

Which of them is least stable? Easy: #Q.

=====

#P
DFT (PBE) results for a relaxed structure of LuCuSbOs.

Cell and atoms, written as POSCAR:
```
LuCuSbOs
1.0
0.000 3.325 3.325
3.325 0.000 3.325
3.325 3.325 0.000
Sb Cu Os Lu
1 1 1 1
Direct
0.000 0.000 0.000 Sb
0.750 0.750 0.750 Cu
0.500 0.500 0.500 Os
0.250 0.250 0.250 Lu
```

Total moment: 0.06 μB per cell

=====

#Q
DFT (PBE) results for a relaxed structure of LuCuSbOs.

Cell and atoms, written as POSCAR:
```
LuCuSbOs
1.0
0.675 -3.254 -3.253
2.110 -3.993 1.108
-2.436 -3.959 0.130
Os Lu Cu Sb
1 1 1 1
Direct
0.250 0.250 0.250 Os
0.500 0.500 0.500 Lu
0.750 0.750 0.750 Cu
0.000 0.000 0.000 Sb
```

Total moment: 0.01 μB per cell

=====

Which of them is least stable? Easy: #P.

=====

#P
DFT (PBE) results for a relaxed structure of LuCuTeOs.

Cell and atoms, written as POSCAR:
```
LuCuTeOs
1.0
0.000 3.296 3.296
3.296 0.000 3.296
3.296 3.296 0.000
Os Cu Lu Te
1 1 1 1
Direct
0.000 0.000 0.000 Os
0.750 0.750 0.750 Cu
0.500 0.500 0.500 Lu
0.250 0.250 0.250 Te
```

Total moment: 0.00 μB per cell

=====

#Q
DFT (PBE) results for a relaxed structure of LuCuTeOs.

Cell and atoms, written as POSCAR:
```
LuCuTeOs
1.0
1.237 -4.350 -1.445
-3.351 -3.177 -1.104
-0.663 -1.276 -4.524
Os Lu Te Cu
1 1 1 1
Direct
0.000 0.000 0.000 Os
0.250 0.250 0.250 Lu
0.500 0.500 0.500 Te
0.750 0.750 0.750 Cu
```

Total moment: 0.01 μB per cell

=====

Which of them is least stable? Easy: #Q.

=====

#P
DFT (PBE) results for a relaxed structure of LuCuPtPb.

Cell and atoms, written as POSCAR:
```
LuCuPtPb
1.0
0.000 3.369 3.369
3.369 0.000 3.369
3.369 3.369 0.000
Pb Cu Pt Lu
1 1 1 1
Direct
0.250 0.250 0.250 Pb
0.750 0.750 0.750 Cu
0.500 0.500 0.500 Pt
0.000 0.000 0.000 Lu
```

Total moment: 0.00 μB per cell

=====

#Q
DFT (PBE) results for a relaxed structure of LuCuPtPb.

Cell and atoms, written as POSCAR:
```
LuCuPtPb
1.0
-3.791 -2.534 1.515
-3.629 2.214 2.240
-4.245 0.481 -2.199
Pt Lu Cu Pb
1 1 1 1
Direct
0.500 0.500 0.500 Pt
0.250 0.250 0.250 Lu
0.750 0.750 0.750 Cu
0.000 0.000 0.000 Pb
```

Total moment: 0.00 μB per cell

=====

#R
DFT (PBE) results for a relaxed structure of LuCuPtPb.

Cell and atoms, written as POSCAR:
```
LuCuPtPb
1.0
-1.368 -4.241 1.784
-3.010 -2.792 -2.487
1.590 -4.067 -1.992
Pb Lu Cu Pt
1 1 1 1
Direct
0.000 0.000 0.000 Pb
0.500 0.500 0.500 Lu
0.750 0.750 0.750 Cu
0.250 0.250 0.250 Pt
```

Total moment: 0.00 μB per cell

=====

Which of them is least stable? Easy: #P.

=====

#P
DFT (PBE) results for a relaxed structure of LuCuRePb.

Cell and atoms, written as POSCAR:
```
LuCuRePb
1.0
0.000 3.388 3.388
3.388 0.000 3.388
3.388 3.388 0.000
Cu Lu Re Pb
1 1 1 1
Direct
0.750 0.750 0.750 Cu
0.250 0.250 0.250 Lu
0.500 0.500 0.500 Re
0.000 0.000 0.000 Pb
```

Total moment: 0.00 μB per cell

=====

#Q
DFT (PBE) results for a relaxed structure of LuCuRePb.

Cell and atoms, written as POSCAR:
```
LuCuRePb
1.0
-1.652 -0.999 4.350
-2.475 3.270 2.415
-4.672 -0.586 0.695
Lu Cu Pb Re
1 1 1 1
Direct
0.500 0.500 0.500 Lu
0.750 0.750 0.750 Cu
0.000 0.000 0.000 Pb
0.250 0.250 0.250 Re
```

Total moment: 0.00 μB per cell

=====

Which of them is least stable? Easy: #P.

=====

#P
DFT (PBE) results for a relaxed structure of LuCuTe3Pb.

Cell and atoms, written as POSCAR:
```
LuCuTe3Pb
1.0
-2.943 7.715 -0.055
-2.217 -0.820 3.531
8.940 0.260 5.673
Te Pb Cu Lu
6 2 2 2
Direct
0.576 0.250 0.367 Te
0.259 0.750 0.042 Te
0.047 0.250 0.330 Te
0.953 0.750 0.670 Te
0.741 0.250 0.958 Te
0.424 0.750 0.633 Te
0.739 0.750 0.197 Pb
0.261 0.250 0.803 Pb
0.923 0.750 0.914 Cu
0.077 0.250 0.086 Cu
0.697 0.250 0.668 Lu
0.303 0.750 0.332 Lu
```

Total moment: 0.01 μB per cell

=====

#Q
DFT (PBE) results for a relaxed structure of LuCuTe3Pb.

Cell and atoms, written as POSCAR:
```
LuCuTe3Pb
1.0
-2.144 -5.717 9.332
3.091 -2.763 -0.983
9.581 8.157 7.199
Lu Te Pb Cu
4 12 4 4
Direct
0.022 0.250 0.757 Lu
0.478 0.750 0.257 Lu
0.522 0.250 0.743 Lu
0.978 0.750 0.243 Lu
0.423 0.250 0.398 Te
0.577 0.750 0.602 Te
0.768 0.250 0.831 Te
0.077 0.750 0.898 Te
0.232 0.750 0.169 Te
0.732 0.750 0.331 Te
0.957 0.750 0.614 Te
0.923 0.250 0.102 Te
0.268 0.250 0.669 Te
0.043 0.250 0.386 Te
0.543 0.250 0.114 Te
0.457 0.750 0.886 Te
0.777 0.250 0.512 Pb
0.223 0.750 0.488 Pb
0.723 0.750 0.012 Pb
0.277 0.250 0.988 Pb
0.244 0.250 0.282 Cu
0.756 0.750 0.718 Cu
0.256 0.750 0.782 Cu
0.744 0.250 0.218 Cu
```

Total moment: 0.01 μB per cell

=====

#R
DFT (PBE) results for a relaxed structure of LuCuTe3Pb.

Cell and atoms, written as POSCAR:
```
LuCuTe3Pb
1.0
-6.715 -5.227 -4.858
-0.960 -2.148 3.638
-11.355 11.217 3.626
Te Lu Pb Cu
12 4 4 4
Direct
0.512 0.250 0.395 Te
0.320 0.750 0.208 Te
0.488 0.750 0.605 Te
0.139 0.750 0.456 Te
0.861 0.250 0.544 Te
0.988 0.750 0.895 Te
0.012 0.250 0.105 Te
0.639 0.750 0.044 Te
0.180 0.250 0.708 Te
0.820 0.750 0.292 Te
0.361 0.250 0.956 Te
0.680 0.250 0.792 Te
0.196 0.750 0.033 Lu
0.696 0.750 0.467 Lu
0.304 0.250 0.533 Lu
0.804 0.250 0.967 Lu
0.585 0.250 0.206 Pb
0.085 0.250 0.294 Pb
0.915 0.750 0.706 Pb
0.415 0.750 0.794 Pb
0.359 0.750 0.372 Cu
0.859 0.750 0.128 Cu
0.641 0.250 0.628 Cu
0.141 0.250 0.872 Cu
```

Total moment: 0.00 μB per cell

=====

Which of them is least stable? Easy: #R.

=====

#P
DFT (PBE) results for a relaxed structure of LuZnCuPb.

Cell and atoms, written as POSCAR:
```
LuZnCuPb
1.0
0.000 3.430 3.430
3.430 0.000 3.430
3.430 3.430 0.000
Pb Zn Cu Lu
1 1 1 1
Direct
0.000 0.000 0.000 Pb
0.250 0.250 0.250 Zn
0.750 0.750 0.750 Cu
0.500 0.500 0.500 Lu
```

Total moment: 0.00 μB per cell

=====

#Q
DFT (PBE) results for a relaxed structure of LuZnCuPb.

Cell and atoms, written as POSCAR:
```
LuZnCuPb
1.0
0.000 3.449 3.449
3.449 0.000 3.449
3.449 3.449 0.000
Zn Lu Pb Cu
1 1 1 1
Direct
0.500 0.500 0.500 Zn
0.250 0.250 0.250 Lu
0.000 0.000 0.000 Pb
0.750 0.750 0.750 Cu
```

Total moment: 0.00 μB per cell

=====

Which of them is least stable? Easy: #Q.

=====

#P
DFT (PBE) results for a relaxed structure of LuCuPd.

Cell and atoms, written as POSCAR:
```
LuCuPd
1.0
0.000 3.176 3.176
3.176 0.000 3.176
3.176 3.176 0.000
Pd Cu Lu
1 1 1
Direct
0.750 0.750 0.750 Pd
0.250 0.250 0.250 Cu
0.000 0.000 0.000 Lu
```

Total moment: 0.00 μB per cell

=====

#Q
DFT (PBE) results for a relaxed structure of LuCuPd.

Cell and atoms, written as POSCAR:
```
LuCuPd
1.0
0.000 3.140 3.140
3.140 0.000 3.140
3.140 3.140 0.000
Cu Pd Lu
1 1 1
Direct
0.250 0.250 0.250 Cu
0.000 0.000 0.000 Pd
0.750 0.750 0.750 Lu
```

Total moment: 0.00 μB per cell

=====

Which of them is least stable? Easy: #P.

=====

#P
DFT (PBE) results for a relaxed structure of LuCuSnPd.

Cell and atoms, written as POSCAR:
```
LuCuSnPd
1.0
0.000 3.336 3.336
3.336 0.000 3.336
3.336 3.336 0.000
Sn Cu Lu Pd
1 1 1 1
Direct
0.250 0.250 0.250 Sn
0.750 0.750 0.750 Cu
0.000 0.000 0.000 Lu
0.500 0.500 0.500 Pd
```

Total moment: 0.00 μB per cell

=====

#Q
DFT (PBE) results for a relaxed structure of LuCuSnPd.

Cell and atoms, written as POSCAR:
```
LuCuSnPd
1.0
-2.295 -4.145 0.343
0.307 -2.562 3.989
-3.770 -0.398 2.863
Sn Pd Cu Lu
1 1 1 1
Direct
0.000 0.000 0.000 Sn
0.500 0.500 0.500 Pd
0.750 0.750 0.750 Cu
0.250 0.250 0.250 Lu
```

Total moment: 0.00 μB per cell

=====

#R
DFT (PBE) results for a relaxed structure of LuCuSnPd.

Cell and atoms, written as POSCAR:
```
LuCuSnPd
1.0
-2.819 -0.255 3.747
-2.460 3.766 1.348
-4.662 0.082 -0.559
Lu Cu Sn Pd
1 1 1 1
Direct
0.500 0.500 0.500 Lu
0.750 0.750 0.750 Cu
0.000 0.000 0.000 Sn
0.250 0.250 0.250 Pd
```

Total moment: 0.00 μB per cell

=====

Which of them is least stable? Easy: #Q.

=====

#P
DFT (PBE) results for a relaxed structure of LuTlCuPd.

Cell and atoms, written as POSCAR:
```
LuTlCuPd
1.0
-2.927 1.227 3.578
-2.446 4.105 -0.211
-4.737 -0.070 -0.655
Pd Cu Lu Tl
1 1 1 1
Direct
0.500 0.500 0.500 Pd
0.750 0.750 0.750 Cu
0.250 0.250 0.250 Lu
0.000 0.000 0.000 Tl
```

Total moment: 0.00 μB per cell

=====

#Q
DFT (PBE) results for a relaxed structure of LuTlCuPd.

Cell and atoms, written as POSCAR:
```
LuTlCuPd
1.0
0.000 3.353 3.353
3.353 0.000 3.353
3.353 3.353 0.000
Lu Pd Tl Cu
1 1 1 1
Direct
0.500 0.500 0.500 Lu
0.250 0.250 0.250 Pd
0.000 0.000 0.000 Tl
0.750 0.750 0.750 Cu
```

Total moment: 0.00 μB per cell

=====

Which of them is least stable? Easy: #P.